1.
The following is a GGA-PBE calculation of a relaxed structure of Sr2Cu2Rh, from the Alexandria database.

Computed properties:
DFT formation energy, eV/atom: -0.16
Relative energy among the computed polymorphs, eV per atom: 0.000

Unit cell a=4.6465 b=5.1517 c=9.4767 alpha=90.00 beta=90.00 gamma=90.00
With the nearest neighbours (Å) after each atom.
Space group Immm (No. 71)
One atom of each set of equivalent atoms:
1 Sr 0.0000 0.0000 0.1889 [4 per cell]  2 Rh 3.14, 6 Cu 3.20-3.22
2 Cu 0.0000 0.2425 0.5000 [4 per cell]  2 Cu 2.50-2.65, 2 Rh 2.64
3 Rh 0.0000 0.5000 0.0000 [2 per cell]  4 Cu 2.64

---

2.
The following is a GGA-PBE calculation of a relaxed structure of Ga2GeTe2, from the Alexandria database.

Computed properties:
Relative energy among the computed polymorphs, eV per atom: 0.040
Raw formation energy, eV per atom: 0.121

Unit cell a=7.8843 b=7.8843 c=3.9970 alpha=90.00 beta=90.00 gamma=90.00
With the nearest neighbours (Å) after each atom.
Space group P4/mbm (No. 127)
One atom of each set of equivalent atoms:
1 Ga 0.1146 0.3854 0.0000 [4 per cell]  1 Ga 2.56, 2 Te 2.75
2 Ge 0.0000 0.0000 0.0000 [2 per cell]  4 Ga 3.17, 8 Te 3.45
3 Te 0.2166 0.7166 0.5000 [4 per cell]  2 Ga 2.75

---

3.
The following is a GGA-PBE calculation of a relaxed structure of PmY5Zn6, from the Alexandria database.

Computed properties:
DFT formation energy, eV/atom: -0.35

Unit cell a=5.0726 b=15.2385 c=7.2116 alpha=90.00 beta=90.00 gamma=90.00
With the nearest neighbours (Å) after each atom.
Space group Cmmm (No. 65)
One atom of each set of equivalent atoms:
1 Pm 0.0000 0.0000 0.0000 [2 per cell]  8 Zn 3.13-3.15
2 Y 0.0000 0.0000 0.5000 [2 per cell]  8 Zn 3.10-3.12
3 Y 0.0000 0.3324 0.0000 [4 per cell]  8 Zn 3.10-3.14
4 Y 0.0000 0.3347 0.5000 [4 per cell]  8 Zn 3.08-3.10
5 Zn 0.0000 0.1685 0.2539 [8 per cell]  7 Y 3.09-3.13, 1 Pm 3.15
6 Zn 0.0000 0.5000 0.2538 [4 per cell]  6 Y 3.08-3.14, 2 Pm 3.13

---

4.
The following is a GGA-PBE calculation of a relaxed structure of Sn2HgIrBr, from the Alexandria database.

Computed properties:
Raw formation energy, eV per atom: -0.220

Unit cell a=5.1063 b=5.1063 c=5.3741 alpha=90.00 beta=90.00 gamma=90.00
With the nearest neighbours (Å) after each atom.
Space group P4/mmm (No. 123)
One atom of each set of equivalent atoms:
1 Sn 0.0000 0.5000 0.0000 [2 per cell]  2 Ir 2.55
2 Hg 0.0000 0.0000 0.5000 [1 per cell]  2 Ir 2.69
3 Ir 0.0000 0.0000 0.0000 [1 per cell]  4 Sn 2.55, 2 Hg 2.69
4 Br 0.5000 0.5000 0.5000 [1 per cell]  4 Hg 3.61, 8 Sn 3.71

---

5.
The following is a GGA-PBE calculation of a relaxed structure of Sr2LiSbH, from the Alexandria database.

Computed properties:
Calculated total energy, eV for the cell shown: -15.80

Unit cell a=5.2230 b=5.2230 c=4.4949 alpha=90.00 beta=90.00 gamma=90.00
With the nearest neighbours (Å) after each atom.
Space group P4/mmm (No. 123)
One atom of each set of equivalent atoms:
1 Sr 0.0000 0.5000 0.0000 [2 per cell]  2 H 2.61
2 Li 0.0000 0.0000 0.5000 [1 per cell]  2 H 2.25
3 Sb 0.5000 0.5000 0.5000 [1 per cell]  8 Sr 3.45, 4 Li 3.69
4 H 0.0000 0.0000 0.0000 [1 per cell]  2 Li 2.25

---

6.
The following is a GGA-PBE calculation of a relaxed structure of BaNb, from the Alexandria database.

Computed properties:
DFT formation energy, eV/atom: 0.59
Relative energy among the computed polymorphs, eV per atom: 0.000

Unit cell a=12.7128 b=12.7128 c=3.4436 alpha=90.00 beta=90.00 gamma=90.00
With the nearest neighbours (Å) after each atom.
Space group I4/m (No. 87)
One atom of each set of equivalent atoms:
1 Ba 0.1156 0.1821 0.0000 [8 per cell]  2 Ba 3.44, 3 Nb 3.47-3.76
2 Nb 0.0551 0.6048 0.0000 [8 per cell]  5 Nb 2.74-3.01